[1]
The following is a PBE calculation of crystalline La6TbY2Tm at its relaxed geometry, from the Alexandria database.

* space group: No. 15
* D(E_F): 11.694 states/eV/f.u.
* E: -50.47 eV per formula unit

a = 9.0900 Å, b = 9.0900 Å, c = 9.2081 Å
α = 90.29°, β = 90.29°, γ = 113.99°
Closest atoms and distances in Å follow each position.
Atoms (fractional coordinates):
La1 0.0342 0.4700 0.6807  3 La 3.41-3.47, 1 Tb 3.42, 1 Tm 3.44, 2 Y 3.48-3.77
La2 0.0671 0.7824 0.9032  3 La 3.20-3.46, 1 Tm 3.46, 1 Y 3.56
La3 0.2176 0.9329 0.5968  3 La 3.20-3.46, 1 Tm 3.46, 1 Y 3.56
La4 0.2780 0.5720 0.0926  3 La 3.25-3.46, 1 Tb 3.47, 1 Y 3.59
La5 0.4280 0.7220 0.4074  3 La 3.25-3.46, 1 Tb 3.47, 1 Y 3.59
La6 0.4700 0.0342 0.1807  3 La 3.41-3.47, 1 Tb 3.42, 1 Tm 3.44, 2 Y 3.48-3.77
La7 0.5300 0.9658 0.8193  3 La 3.41-3.47, 1 Tb 3.42, 1 Tm 3.44, 2 Y 3.48-3.77
La8 0.5720 0.2780 0.5926  3 La 3.25-3.46, 1 Tb 3.47, 1 Y 3.59
La9 0.7220 0.4280 0.9074  3 La 3.25-3.46, 1 Tb 3.47, 1 Y 3.59
La10 0.7824 0.0671 0.4032  3 La 3.20-3.46, 1 Tm 3.46, 1 Y 3.56
La11 0.9329 0.2176 0.0968  3 La 3.20-3.46, 1 Tm 3.46, 1 Y 3.56
La12 0.9658 0.5300 0.3193  3 La 3.41-3.47, 1 Tb 3.42, 1 Tm 3.44, 2 Y 3.48-3.77
Tb1 0.4335 0.5665 0.7500  6 La 3.42-3.64, 4 Y 3.46-3.82
Tb2 0.5665 0.4335 0.2500  6 La 3.42-3.64, 4 Y 3.46-3.82
Y1 0.2052 0.2945 0.4340  2 Tm 3.45-3.85, 2 Tb 3.46-3.82, 7 La 3.48-3.84
Y2 0.2945 0.2052 0.9340  2 Tm 3.45-3.85, 2 Tb 3.46-3.82, 7 La 3.48-3.84
Y3 0.7055 0.7948 0.0660  2 Tm 3.45-3.85, 2 Tb 3.46-3.82, 7 La 3.48-3.84
Y4 0.7948 0.7055 0.5660  2 Tm 3.45-3.85, 2 Tb 3.46-3.82, 7 La 3.48-3.84
Tm1 0.0691 0.9309 0.2500  6 La 3.44-3.60, 2 Y 3.45
Tm2 0.9309 0.0691 0.7500  6 La 3.44-3.60, 2 Y 3.45

***

[2]
The following is a PBE calculation of crystalline TbPm2NdY5 at its relaxed geometry, from the Alexandria database.

* space group: No. 140
* D(E_F): 10.295 states/eV/f.u.
* E: -49.02 eV per formula unit

a = 9.9824 Å, b = 9.9824 Å, c = 9.9824 Å
α = 128.46°, β = 128.46°, γ = 75.87°
Closest atoms and distances in Å follow each position.
Atoms (fractional coordinates):
Tb1 0.2500 0.2500 0.0000  10 Y 3.58-3.94
Tb2 0.7500 0.7500 0.0000  10 Y 3.58-3.94
Pm1 0.1179 0.6179 0.7359  1 Pm 2.90, 2 Y 3.05
Pm2 0.3821 0.1179 0.5000  1 Pm 2.90, 2 Y 3.05
Pm3 0.6179 0.8821 0.5000  1 Pm 2.90, 2 Y 3.05
Pm4 0.8821 0.3821 0.2641  1 Pm 2.90, 2 Y 3.05
Nd1 0.2500 0.7500 0.5000  4 Y 3.10
Nd2 0.7500 0.2500 0.5000  4 Y 3.10
Y1 0.0000 0.0000 0.0000  4 Pm 3.47, 8 Y 3.79
Y2 0.0697 0.1550 0.5000  1 Pm 3.05, 1 Nd 3.10
Y3 0.1550 0.6550 0.0853  1 Pm 3.05, 1 Nd 3.10
Y4 0.3451 0.4303 0.5000  1 Pm 3.05, 1 Nd 3.10
Y5 0.4303 0.9303 0.0853  1 Pm 3.05, 1 Nd 3.10
Y6 0.5000 0.5000 0.0000  4 Pm 3.47, 8 Y 3.79
Y7 0.5697 0.0697 0.9147  1 Pm 3.05, 1 Nd 3.10
Y8 0.6550 0.5697 0.5000  1 Pm 3.05, 1 Nd 3.10
Y9 0.8450 0.3451 0.9147  1 Pm 3.05, 1 Nd 3.10
Y10 0.9303 0.8450 0.5000  1 Pm 3.05, 1 Nd 3.10

***

[3]
The following is a PBE calculation of crystalline AcNd5Tl6 at its relaxed geometry, from the Alexandria database.

* space group: No. 12
* D(E_F): 11.155 states/eV/f.u.
* E: -46.62 eV per formula unit

a = 9.6725 Å, b = 9.6725 Å, c = 5.5900 Å
α = 106.75°, β = 106.75°, γ = 120.23°
Closest atoms and distances in Å follow each position.
Atoms (fractional coordinates):
Ac1 0.0000 0.0000 0.0000  8 Tl 3.49-3.50, 4 Nd 3.90
Nd1 0.1620 0.8380 0.5000  8 Tl 3.40-3.46
Nd2 0.3303 0.6697 0.0000  8 Tl 3.36-3.39
Nd3 0.5000 0.5000 0.5000  8 Tl 3.34-3.44
Nd4 0.6697 0.3303 0.0000  8 Tl 3.36-3.39
Nd5 0.8380 0.1620 0.5000  8 Tl 3.40-3.46
Tl1 0.0871 0.4281 0.2578  7 Nd 3.36-3.46, 1 Ac 3.50
Tl2 0.2662 0.2662 0.7659  6 Nd 3.34-3.43, 2 Ac 3.49, 1 Tl 3.68
Tl3 0.4281 0.0871 0.2578  7 Nd 3.36-3.46, 1 Ac 3.50
Tl4 0.5719 0.9129 0.7422  7 Nd 3.36-3.46, 1 Ac 3.50
Tl5 0.7338 0.7338 0.2341  6 Nd 3.34-3.43, 2 Ac 3.49, 1 Tl 3.68
Tl6 0.9129 0.5719 0.7422  7 Nd 3.36-3.46, 1 Ac 3.50

***

[4]
The following is a PBE calculation of crystalline DyHo2CdO at its relaxed geometry, from the Alexandria database.

* space group: No. 123
* D(E_F): 2.468 states/eV/f.u.
* E_form (uncorrected): -1323 meV per atom
* E: -26.24 eV per formula unit

a = 4.7625 Å, b = 4.7625 Å, c = 4.7849 Å
α = 90.00°, β = 90.00°, γ = 90.00°
Closest atoms and distances in Å follow each position.
Atoms (fractional coordinates):
Dy1 0.0000 0.0000 0.0000  2 O 2.39
Ho1 0.0000 0.5000 0.5000  2 O 2.38
Ho2 0.5000 0.0000 0.5000  2 O 2.38
Cd1 0.5000 0.5000 0.0000  4 Dy 3.37, 8 Ho 3.38
O1 0.0000 0.0000 0.5000  4 Ho 2.38, 2 Dy 2.39

***

Question: Look up the E of the second one.
Answer: -49.02 eV per formula unit

***

Copy entry 2 word for word.
The following is a PBE calculation of crystalline TbPm2NdY5 at its relaxed geometry, from the Alexandria database.

* space group: No. 140
* D(E_F): 10.295 states/eV/f.u.
* E: -49.02 eV per formula unit

a = 9.9824 Å, b = 9.9824 Å, c = 9.9824 Å
α = 128.46°, β = 128.46°, γ = 75.87°
Closest atoms and distances in Å follow each position.
Atoms (fractional coordinates):
Tb1 0.2500 0.2500 0.0000  10 Y 3.58-3.94
Tb2 0.7500 0.7500 0.0000  10 Y 3.58-3.94
Pm1 0.1179 0.6179 0.7359  1 Pm 2.90, 2 Y 3.05
Pm2 0.3821 0.1179 0.5000  1 Pm 2.90, 2 Y 3.05
Pm3 0.6179 0.8821 0.5000  1 Pm 2.90, 2 Y 3.05
Pm4 0.8821 0.3821 0.2641  1 Pm 2.90, 2 Y 3.05
Nd1 0.2500 0.7500 0.5000  4 Y 3.10
Nd2 0.7500 0.2500 0.5000  4 Y 3.10
Y1 0.0000 0.0000 0.0000  4 Pm 3.47, 8 Y 3.79
Y2 0.0697 0.1550 0.5000  1 Pm 3.05, 1 Nd 3.10
Y3 0.1550 0.6550 0.0853  1 Pm 3.05, 1 Nd 3.10
Y4 0.3451 0.4303 0.5000  1 Pm 3.05, 1 Nd 3.10
Y5 0.4303 0.9303 0.0853  1 Pm 3.05, 1 Nd 3.10
Y6 0.5000 0.5000 0.0000  4 Pm 3.47, 8 Y 3.79
Y7 0.5697 0.0697 0.9147  1 Pm 3.05, 1 Nd 3.10
Y8 0.6550 0.5697 0.5000  1 Pm 3.05, 1 Nd 3.10
Y9 0.8450 0.3451 0.9147  1 Pm 3.05, 1 Nd 3.10
Y10 0.9303 0.8450 0.5000  1 Pm 3.05, 1 Nd 3.10